1.
Compound: YSbMo2
Source: OQMD via LeMat-Bulk
Functional: GGA-PBE
Structure: relaxed

Summary:
Calculated total energy, eV per cell: -31.3

Cell: 4.794 4.794 4.794 Å, 60.00 60.00 60.00°
Fractional positions:
Mo1 0.000 0.000 0.000
Mo2 0.750 0.750 0.750
Sb1 0.500 0.500 0.500
Y1 0.250 0.250 0.250

=====

2.
Compound: YSbMo
Source: OQMD via LeMat-Bulk
Functional: GGA-PBE
Structure: relaxed

Summary:
Polymorph energy (0 for the lowest one), meV per atom: 655

Cell: 4.938 4.938 4.938 Å, 60.00 60.00 60.00°
Fractional positions:
Mo1 0.250 0.250 0.250
Sb1 0.750 0.750 0.750
Y1 0.000 0.000 0.000

=====

3.
Compound: ZnSb2Mo
Source: OQMD via LeMat-Bulk
Functional: GGA-PBE
Structure: relaxed

Summary:
Calculated total energy, eV per cell: -17.6

Cell: 4.903 4.903 4.903 Å, 60.00 60.00 60.00°
Each line ends with the local moment (μB).
Fractional positions:
Mo1 0.500 0.500 0.500  1.54
Sb1 0.000 0.000 0.000  -0.03
Sb2 0.750 0.750 0.750  -0.05
Zn1 0.250 0.250 0.250  0.03

=====

4.
Compound: ZnSb2Mo
Source: OQMD via LeMat-Bulk
Functional: GGA-PBE
Structure: relaxed

Summary:
Calculated total energy, eV per cell: -36.3

Cell: 7.605 7.605 7.605 Å, 132.00 132.00 70.22°
Each line ends with the local moment (μB).
Fractional positions:
Mo1 0.000 0.000 0.000  1.73
Mo2 0.750 0.250 0.500  1.73
Sb1 0.630 0.125 0.005  -0.07
Sb2 0.375 0.370 0.495  -0.07
Sb3 0.875 0.880 0.505  -0.06
Sb4 0.120 0.625 0.995  -0.07
Zn1 0.500 0.500 0.000  0.03
Zn2 0.250 0.750 0.500  0.03